The following is a PBE+U calculation of crystalline Mn2FeO at its relaxed geometry, from the Alexandria database.

Geometry as POSCAR:
```
Mn2FeO
1.0
2.207 -1.985 -2.406
0.307 -3.791 0.375
-1.596 -2.312 -2.591
Mn Fe O
2 1 1
Cartesian
0.230 -2.022 -1.156 Mn
0.689 -6.066 -3.467 Mn
0.459 -4.044 -2.311 Fe
0.000 0.000 0.000 O
```

## Properties
The excess energy over the best structure of this formula in the dataset is 2552 meV per atom. Its density of states at the Fermi level is 1.4083 states/eV/atom. The calculation puts the raw total energy at -0.25983 Ry/atom.